YHf2AlHg | PBE | optimized geometry

Lattice parameters (Å, degrees): 5.2137 5.2137 5.3181 90.00 90.00 90.00
Last column: nearest neighbours and their distance in Å.
Sites, in units of the cell vectors:
Y 0.0000 0.0000 0.0000  4 Hf 2.61, 2 Al 2.66
Hf 0.0000 0.5000 0.0000  2 Y 2.61
Hf 0.5000 0.0000 0.0000  2 Y 2.61
Al 0.0000 0.0000 0.5000  2 Y 2.66
Hg 0.5000 0.5000 0.5000  4 Al 3.69, 8 Hf 3.72

ΔH_f (0 K), eV per atom: 1.41
Energy, eV/atom: -4.670
Total magnetization, μB per atom: 0.00